Entry 1:
Sr3HgAu2 GGA-PBE optimized geometry; total moment = 0.00 μB/f.u.; formation energy = -0.651 eV per atom
1.0
2.767 -8.280 0.000
2.767 8.280 0.000
0.000 0.000 3.872
Sr Hg Au
3 1 2
direct
0.000 0.000 0.000
0.328 0.672 0.000
0.672 0.328 0.000
0.500 0.500 0.500
0.163 0.837 0.500
0.837 0.163 0.500

Entry 2:
GaAgH GGA-PBE optimized geometry; calculated total energy = -18.06 eV for the cell shown; total moment = 0.00 μB/f.u.
1.0
2.811 0.000 0.000
1.145 2.569 0.000
1.199 -0.314 13.792
Ga Ag H
2 2 2
direct
0.000 0.000 0.000
0.385 0.679 0.533
0.128 0.334 0.356
0.585 0.688 0.177
0.826 0.502 0.793
0.874 0.454 0.739

Entry 3:
PrPu2Ge2 GGA-PBE optimized geometry; E above lowest polymorph = 0.288 eV/atom; total moment = 0.01 μB/f.u.; formation energy = -0.137 eV per atom
1.0
5.595 0.000 0.000
0.000 3.580 0.000
-2.702 0.000 11.887
Pr Pu Ge
2 4 4
direct
0.233 0.250 0.230
0.767 0.750 0.770
0.100 0.250 0.552
0.365 0.750 0.991
0.635 0.250 0.009
0.900 0.750 0.448
0.280 0.250 0.794
0.384 0.750 0.435
0.616 0.250 0.565
0.720 0.750 0.206

Entry 4:
Th2AlNi7 GGA-PBE optimized geometry; total moment = 0.00 μB/f.u.; formation energy = -0.390 eV per atom
1.0
3.815 0.000 0.000
0.000 3.815 0.000
0.000 0.000 10.747
Th Al Ni
2 1 7
direct
0.000 0.500 0.231
0.500 0.000 0.769
0.000 0.000 0.500
0.000 0.000 0.000
0.000 0.500 0.640
0.000 0.500 0.860
0.500 0.000 0.140
0.500 0.000 0.360
0.500 0.500 0.000
0.500 0.500 0.500

Entry 5:
HfHgIO2 GGA-PBE optimized geometry; E above lowest polymorph = 2.091 eV/atom; total moment = 0.74 μB/f.u.; formation energy from raw total energies = 579 meV/atom
1.0
4.296 0.000 0.000
0.000 4.296 0.000
0.000 0.000 5.662
Hf Hg I O
1 1 1 2
direct
0.000 0.000 0.000
0.500 0.500 0.500
0.500 0.500 0.000
0.000 0.500 0.500
0.500 0.000 0.500

Entry 6:
TmSc2Se2 GGA-PBE optimized geometry; total moment = 0.29 μB/f.u.; formation energy from raw total energies = -1271 meV/atom
1.0
1.886 1.089 9.374
-1.886 1.089 9.374
0.000 -2.177 9.374
Tm Sc Se
1 2 2
direct
0.000 0.000 0.000
0.211 0.211 0.211
0.789 0.789 0.789
0.396 0.396 0.396
0.604 0.604 0.604

Entry 7:
Ba3NaH2 GGA-PBE optimized geometry; calculated total energy = -30.47 eV for the cell shown; total moment = 0.00 μB/f.u.
1.0
5.470 -6.774 0.000
5.470 6.774 0.000
0.000 0.000 6.350
Ba Na H
6 2 4
direct
0.102 0.898 0.750
0.168 0.388 0.750
0.388 0.168 0.250
0.612 0.832 0.750
0.832 0.612 0.250
0.898 0.102 0.250
0.328 0.672 0.250
0.672 0.328 0.750
0.146 0.146 0.000
0.146 0.146 0.500
0.854 0.854 0.000
0.854 0.854 0.500

Entry 8:
Tm2ScCu GGA-PBE optimized geometry; E above lowest polymorph = 0.011 eV/atom; total moment = 0.00 μB/f.u.; formation energy = -0.109 eV per atom
1.0
3.499 0.000 0.000
0.000 9.023 0.000
-1.745 0.000 6.074
Tm Sc Cu
4 2 2
direct
0.132 0.059 0.266
0.132 0.441 0.266
0.868 0.559 0.734
0.868 0.941 0.734
0.440 0.250 0.880
0.560 0.750 0.120
0.243 0.750 0.483
0.757 0.250 0.517

Entry 9:
Ce7Ni3 GGA-PBE optimized geometry; total moment = 0.99 μB/f.u.; formation energy = -0.169 eV per atom
1.0
9.532 0.000 0.000
-4.766 8.255 0.000
0.000 0.000 5.964
Ce Ni
14 6
direct
0.082 0.541 0.000
0.130 0.259 0.280
0.130 0.870 0.280
0.259 0.130 0.780
0.333 0.667 0.453
0.459 0.541 0.000
0.459 0.918 0.000
0.541 0.082 0.500
0.541 0.459 0.500
0.667 0.333 0.953
0.741 0.870 0.280
0.870 0.130 0.780
0.870 0.741 0.780
0.918 0.459 0.500
0.187 0.374 0.730
0.187 0.813 0.730
0.374 0.187 0.230
0.626 0.813 0.730
0.813 0.187 0.230
0.813 0.626 0.230

Entry 10:
SrPbN2O GGA-PBE optimized geometry; total moment = 2.13 μB/f.u.; formation energy from raw total energies = 303 meV/atom
1.0
4.544 0.000 0.000
0.000 4.544 0.000
0.000 0.000 4.571
Sr Pb N O
1 1 2 1
direct
0.000 0.000 0.000
0.500 0.500 0.500
0.000 0.500 0.500
0.500 0.000 0.500
0.500 0.500 0.000

Entry 11:
BaFeP GGA-PBE optimized geometry; total moment = 3.00 μB/f.u.; formation energy = 0.195 eV per atom
1.0
0.000 3.302 3.302
3.302 0.000 3.302
3.302 3.302 0.000
Ba Fe P
1 1 1
direct
0.000 0.000 0.000
0.250 0.250 0.250
0.500 0.500 0.500

Entry 12:
TaTl2Cu GGA-PBE optimized geometry; E above lowest polymorph = 0.350 eV/atom; total moment = 0.00 μB/f.u.; formation energy = 0.779 eV per atom
1.0
-3.748 3.748 2.976
3.748 -3.748 2.976
3.748 3.748 -2.976
Ta Tl Cu
2 4 2
direct
0.000 0.000 0.000
0.750 0.250 0.500
0.156 0.625 0.031
0.375 0.406 0.531
0.594 0.125 0.969
0.875 0.844 0.469
0.250 0.750 0.500
0.500 0.500 0.000

Entry 13:
Rb2AsC GGA-PBE optimized geometry; E above lowest polymorph = 0.714 eV/atom; total moment = 1.00 μB/f.u.; formation energy = 1.330 eV per atom
1.0
0.000 4.059 4.059
4.059 0.000 4.059
4.059 4.059 0.000
Rb As C
2 1 1
direct
0.250 0.250 0.250
0.750 0.750 0.750
0.000 0.000 0.000
0.500 0.500 0.500

Entry 14:
ReSiTc3 GGA-PBE optimized geometry; E above lowest polymorph = 1.906 eV/atom; total moment = 1.67 μB/f.u.; formation energy from raw total energies = 1849 meV/atom
1.0
4.681 0.000 0.000
0.000 4.681 0.000
0.000 0.000 4.681
Re Si Tc
1 1 3
direct
0.000 0.000 0.000
0.500 0.500 0.500
0.000 0.000 0.500
0.000 0.500 0.000
0.500 0.000 0.000

Entry 15:
Tl3RhS GGA-PBE optimized geometry; E above lowest polymorph = 0.775 eV/atom; total moment = 0.78 μB/f.u.; formation energy from raw total energies = 833 meV/atom
1.0
5.367 0.000 0.000
0.000 5.367 0.000
0.000 0.000 5.367
Tl Rh S
3 1 1
direct
0.000 0.000 0.500
0.000 0.500 0.000
0.500 0.000 0.000
0.500 0.500 0.500
0.000 0.000 0.000

Entry 16:
MgUSi2O8 GGA-PBE optimized geometry; total moment = 0.00 μB/f.u.; formation energy from raw total energies = -2770 meV/atom
1.0
-3.356 3.356 3.063
3.356 -3.356 3.063
3.356 3.356 -3.063
Mg U Si O
1 1 2 8
direct
0.000 0.000 0.000
0.250 0.750 0.500
0.500 0.500 0.000
0.750 0.250 0.500
0.330 0.142 0.812
0.330 0.519 0.188
0.388 0.072 0.316
0.481 0.670 0.812
0.756 0.072 0.684
0.858 0.670 0.188
0.928 0.244 0.316
0.928 0.612 0.684

Entry 17:
Ta2TeAs GGA-PBE optimized geometry; total moment = 0.00 μB/f.u.; formation energy from raw total energies = 469 meV/atom
1.0
0.000 3.389 3.389
3.389 0.000 3.389
3.389 3.389 0.000
Ta Te As
2 1 1
direct
0.000 0.000 0.000
0.250 0.250 0.250
0.750 0.750 0.750
0.500 0.500 0.500

Entry 18:
NdAlGa2 GGA-PBE optimized geometry; total moment = 0.00 μB/f.u.; formation energy = -0.455 eV per atom
1.0
2.173 1.254 5.279
-2.173 1.254 5.279
0.000 -2.509 5.279
Nd Al Ga
1 1 2
direct
0.000 0.000 0.000
0.500 0.500 0.500
0.221 0.221 0.221
0.779 0.779 0.779

Entry 19:
CaLaAl GGA-PBE optimized geometry; E above lowest polymorph = 0.193 eV/atom; total moment = 0.00 μB/f.u.; formation energy = -0.087 eV per atom
1.0
7.672 -1.847 0.000
7.672 1.847 0.000
-3.646 0.000 6.960
Ca La Al
2 2 2
direct
0.000 0.000 0.000
0.078 0.078 0.502
0.713 0.713 0.983
0.815 0.815 0.467
0.312 0.312 0.798
0.398 0.398 0.208

Entry 20:
Cu3PbSe4 GGA-PBE optimized geometry; total moment = 0.00 μB/f.u.; formation energy from raw total energies = -71 meV/atom
1.0
3.450 -6.832 0.000
3.450 6.832 0.000
0.000 0.000 4.295
Cu Pb Se
3 1 4
direct
0.000 0.000 0.000
0.249 0.751 0.000
0.751 0.249 0.000
0.500 0.500 0.500
0.122 0.376 0.000
0.376 0.122 0.000
0.624 0.878 0.000
0.878 0.624 0.000

Entry 21:
Lu2TlHg GGA-PBE optimized geometry; total moment = 0.00 μB/f.u.; formation energy = -0.290 eV per atom
1.0
1.834 1.059 9.261
-1.834 1.059 9.261
0.000 -2.118 9.261
Lu Tl Hg
2 1 1
direct
0.248 0.248 0.248
0.752 0.752 0.752
0.000 0.000 0.000
0.500 0.500 0.500

Entry 22:
MnSiH2Se GGA-PBE optimized geometry; calculated total energy = -23.09 eV for the cell shown; total moment = 0.00 μB/f.u.
1.0
3.371 0.000 0.000
0.000 3.371 0.000
0.000 0.000 5.080
Mn Si H Se
1 1 2 1
direct
0.000 0.000 0.000
0.000 0.000 0.500
0.000 0.500 0.500
0.500 0.000 0.500
0.500 0.500 0.000

Entry 23:
Sm4Dy4Ho3 GGA-PBE optimized geometry; E above lowest polymorph = 0.000 eV/atom; total moment = 0.00 μB/f.u.; formation energy = 0.061 eV per atom
1.0
-1.760 2.818 17.783
1.760 -2.818 17.783
1.760 2.818 -17.783
Sm Dy Ho
4 4 3
direct
0.090 0.090 0.000
0.268 0.768 0.500
0.732 0.232 0.500
0.910 0.910 0.000
0.180 0.180 0.000
0.454 0.954 0.500
0.546 0.046 0.500
0.820 0.820 0.000
0.000 0.500 0.500
0.364 0.364 0.000
0.636 0.636 0.000

Entry 24:
LiTb2ScHg4 GGA-PBE optimized geometry; total moment = 0.00 μB/f.u.; formation energy = -0.452 eV per atom
1.0
2.546 1.470 8.356
-2.546 1.470 8.356
0.000 -2.940 8.356
Li Tb Sc Hg
1 2 1 4
direct
0.000 0.000 0.000
0.253 0.253 0.253
0.747 0.747 0.747
0.500 0.500 0.500
0.126 0.126 0.126
0.375 0.375 0.375
0.625 0.625 0.625
0.874 0.874 0.874

Entry 25:
CuTeAsN2 GGA-PBE optimized geometry; E above lowest polymorph = 0.000 eV/atom; total moment = 0.86 μB/f.u.; formation energy from raw total energies = 1263 meV/atom
1.0
3.703 0.000 0.000
0.000 3.703 0.000
0.000 0.000 6.607
Cu Te As N
1 1 1 2
direct
0.000 0.000 0.000
0.500 0.500 0.000
0.500 0.500 0.500
0.000 0.500 0.500
0.500 0.000 0.500

Entry 26:
LaVH3 GGA-PBE optimized geometry; E above lowest polymorph = 0.752 eV/atom; total moment = 3.97 μB/f.u.
1.0
4.370 0.000 0.000
0.000 4.370 0.000
0.000 0.000 4.370
La V H
1 1 3
direct
0.000 0.000 0.000
0.500 0.500 0.500
0.000 0.000 0.500
0.000 0.500 0.000
0.500 0.000 0.000